Record 1
# NaMgAl3

NaMgAl3 after structural relaxation (PBE-GGA, Alexandria).

Output
- Formation energy from the elements: 676 meV per atom
- Size of the total moment: 0.0 μB/f.u.
- DOS(E_F): 0.55 states/eV/atom
- Space-group type: No. 221
- Raw total energy: -10.76 eV per cell

Cell: 5.226 5.226 5.226 Å, 90.00 90.00 90.00°
Fractional coordinates of all 5 atoms:
Na 0.000 0.000 0.000
Mg 0.500 0.500 0.500
Al 0.000 0.500 0.500
Al 0.500 0.000 0.500
Al 0.500 0.500 0.000

---

Record 2
# NaMg16Al12

NaMg16Al12 after structural relaxation (PBE-GGA, Alexandria).

Output
- Formation energy from the elements: -23 meV per atom
- Size of the total moment: 0.0 μB/f.u.
- DOS(E_F): 0.33 states/eV/atom
- Space-group type: No. 160
- Raw total energy: -72.40 eV per cell

Cell: 9.151 9.151 9.151 Å, 109.53 109.53 109.53°
Fractional coordinates of all 29 atoms:
Na 0.000 0.000 0.000
Mg 0.047 0.047 0.648
Mg 0.047 0.648 0.047
Mg 0.077 0.756 0.756
Mg 0.359 0.359 0.359
Mg 0.362 0.677 0.964
Mg 0.362 0.964 0.677
Mg 0.363 0.363 0.707
Mg 0.363 0.707 0.363
Mg 0.648 0.047 0.047
Mg 0.677 0.362 0.964
Mg 0.677 0.964 0.362
Mg 0.707 0.363 0.363
Mg 0.756 0.077 0.756
Mg 0.756 0.756 0.077
Mg 0.964 0.362 0.677
Mg 0.964 0.677 0.362
Al 0.178 0.365 0.997
Al 0.178 0.997 0.365
Al 0.183 0.548 0.548
Al 0.365 0.178 0.997
Al 0.365 0.997 0.178
Al 0.542 0.728 0.728
Al 0.548 0.183 0.548
Al 0.548 0.548 0.183
Al 0.728 0.542 0.728
Al 0.728 0.728 0.542
Al 0.997 0.178 0.365
Al 0.997 0.365 0.178

---

Record 3
# Na2Mg2Al

Na2Mg2Al after structural relaxation (PBE-GGA, Alexandria).

Output
- Formation energy from the elements: 188 meV per atom
- Size of the total moment: 0.0 μB/f.u.
- DOS(E_F): 0.39 states/eV/atom
- Space-group type: No. 127
- Raw total energy: -17.26 eV per cell

Cell: 7.258 7.258 5.401 Å, 90.00 90.00 90.00°
Fractional coordinates of all 10 atoms:
Na 0.174 0.326 0.000
Na 0.326 0.826 0.000
Na 0.674 0.174 0.000
Na 0.826 0.674 0.000
Mg 0.148 0.648 0.500
Mg 0.352 0.148 0.500
Mg 0.648 0.852 0.500
Mg 0.852 0.352 0.500
Al 0.000 0.000 0.500
Al 0.500 0.500 0.500

---

Record 4
# NaMg14Al

NaMg14Al after structural relaxation (PBE-GGA, Alexandria).

Output
- Formation energy from the elements: 33 meV per atom
- Size of the total moment: 0.0 μB/f.u.
- DOS(E_F): 0.46 states/eV/atom
- Space-group type: No. 187
- Raw total energy: -26.86 eV per cell

Cell: 6.383 6.383 10.381 Å, 90.00 90.00 120.00°
Fractional coordinates of all 16 atoms:
Na 0.000 0.000 0.000
Mg 0.004 0.502 0.000
Mg 0.166 0.333 0.258
Mg 0.166 0.333 0.742
Mg 0.166 0.834 0.258
Mg 0.166 0.834 0.742
Mg 0.498 0.502 0.000
Mg 0.498 0.996 0.000
Mg 0.502 0.005 0.500
Mg 0.502 0.498 0.500
Mg 0.667 0.333 0.246
Mg 0.667 0.333 0.754
Mg 0.667 0.834 0.258
Mg 0.667 0.834 0.742
Mg 0.995 0.498 0.500
Al 0.000 0.000 0.500

---

Record 5
# NaMg2Al

NaMg2Al after structural relaxation (PBE-GGA, Alexandria).

Output
- Formation energy from the elements: 330 meV per atom
- Size of the total moment: 0.0 μB/f.u.
- DOS(E_F): 0.53 states/eV/atom
- Space-group type: No. 122
- Raw total energy: -13.86 eV per cell

Cell: 10.938 10.938 10.938 Å, 156.58 156.58 33.35°
Fractional coordinates of all 8 atoms:
Na 0.000 0.000 0.000
Na 0.750 0.250 0.500
Mg 0.143 0.625 0.018
Mg 0.375 0.393 0.518
Mg 0.607 0.125 0.982
Mg 0.875 0.857 0.482
Al 0.250 0.750 0.500
Al 0.500 0.500 0.000

---

Record 6
# NaMg2Al

NaMg2Al after structural relaxation (PBE-GGA, Alexandria).

Output
- Formation energy from the elements: 123 meV per atom
- Size of the total moment: 0.0 μB/f.u.
- DOS(E_F): 0.38 states/eV/atom
- Space-group type: No. 123
- Raw total energy: -7.76 eV per cell

Cell: 4.610 4.610 4.302 Å, 90.00 90.00 90.00°
Fractional coordinates of all 4 atoms:
Na 0.000 0.000 0.000
Mg 0.000 0.500 0.500
Mg 0.500 0.000 0.500
Al 0.500 0.500 0.000

---

Record 7
# NaMg3Al

NaMg3Al after structural relaxation (PBE-GGA, Alexandria).

Output
- Formation energy from the elements: 817 meV per atom
- Size of the total moment: 0.0 μB/f.u.
- DOS(E_F): 0.62 states/eV/atom
- Space-group type: No. 221
- Raw total energy: -5.76 eV per cell

Cell: 5.292 5.292 5.292 Å, 90.00 90.00 90.00°
Fractional coordinates of all 5 atoms:
Na 0.000 0.000 0.000
Mg 0.000 0.000 0.500
Mg 0.000 0.500 0.000
Mg 0.500 0.000 0.000
Al 0.500 0.500 0.500

---

Record 8
# NaMg16Al12

NaMg16Al12 after structural relaxation (PBE-GGA, Alexandria).

Output
- Formation energy from the elements: -15 meV per atom
- Size of the total moment: 0.0 μB/f.u.
- DOS(E_F): 0.31 states/eV/atom
- Space-group type: No. 8
- Raw total energy: -72.16 eV per cell

Cell: 9.138 9.138 9.151 Å, 109.49 109.49 109.20°
Fractional coordinates of all 29 atoms:
Na 0.000 0.000 0.000
Mg 0.197 0.596 0.595
Mg 0.200 0.911 0.282
Mg 0.257 0.257 0.939
Mg 0.279 0.279 0.565
Mg 0.280 0.880 0.963
Mg 0.308 0.994 0.679
Mg 0.594 0.910 0.881
Mg 0.595 0.939 0.279
Mg 0.596 0.197 0.595
Mg 0.596 0.596 0.279
Mg 0.596 0.596 0.623
Mg 0.880 0.280 0.963
Mg 0.910 0.594 0.881
Mg 0.911 0.200 0.282
Mg 0.939 0.595 0.279
Mg 0.994 0.308 0.679
Al 0.229 0.595 0.094
Al 0.233 0.415 0.284
Al 0.407 0.593 0.912
Al 0.413 0.780 0.464
Al 0.415 0.233 0.284
Al 0.593 0.407 0.912
Al 0.595 0.229 0.094
Al 0.772 0.960 0.639
Al 0.774 0.774 0.099
Al 0.780 0.413 0.464
Al 0.960 0.772 0.639
Al 0.961 0.961 0.458

---

Record 9
# Na2MgAl

Na2MgAl after structural relaxation (PBE-GGA, Alexandria).

Output
- Formation energy from the elements: 337 meV per atom
- Size of the total moment: 0.0 μB/f.u.
- DOS(E_F): 0.60 states/eV/atom
- Space-group type: No. 122
- Raw total energy: -13.25 eV per cell

Cell: 6.827 6.827 6.827 Å, 100.69 100.69 128.98°
Fractional coordinates of all 8 atoms:
Na 0.109 0.625 0.984
Na 0.375 0.359 0.484
Na 0.641 0.125 0.016
Na 0.875 0.891 0.516
Mg 0.250 0.750 0.500
Mg 0.500 0.500 0.000
Al 0.000 0.000 0.000
Al 0.750 0.250 0.500

---

Record 10
# NaNdMgAl

NaNdMgAl after structural relaxation (PBE-GGA, Alexandria).

Output
- Formation energy from the elements: -62 meV per atom
- Size of the total moment: 0.0 μB/f.u.
- DOS(E_F): 0.68 states/eV/atom
- Space-group type: No. 216
- Raw total energy: -11.67 eV per cell

Cell: 5.183 5.183 5.183 Å, 60.00 60.00 60.00°
Fractional coordinates of all 4 atoms:
Na 0.000 0.000 0.000
Nd 0.750 0.750 0.750
Mg 0.250 0.250 0.250
Al 0.500 0.500 0.500

---

Record 11
# Na2MgAlO4

Na2MgAlO4 after structural relaxation (PBE-GGA, Alexandria).

Output
- Size of the total moment: 1.0 μB/f.u.
- DOS(E_F): 0.69 states/eV/atom
- Space-group type: No. 121
- Raw total energy: -43.11 eV per cell
- Raw formation energy: -1912 meV per atom

Cell: 5.000 5.000 5.000 Å, 107.36 107.36 113.77°
Fractional coordinates of all 8 atoms:
Na 0.000 0.500 0.500
Na 0.500 0.000 0.500
Mg 0.000 0.000 0.000
Al 0.500 0.500 0.000
O 0.120 0.120 0.685
O 0.435 0.435 0.315
O 0.565 0.880 0.000
O 0.880 0.565 0.000

---

Record 12
# NaMg2AlO

NaMg2AlO after structural relaxation (PBE-GGA, Alexandria).

Output
- Size of the total moment: 0.0 μB/f.u.
- DOS(E_F): 0.33 states/eV/atom
- Space-group type: No. 123
- Raw total energy: -15.90 eV per cell
- Raw formation energy: -538 meV per atom

Cell: 4.218 4.218 5.286 Å, 90.00 90.00 90.00°
Fractional coordinates of all 5 atoms:
Na 0.000 0.000 0.000
Mg 0.000 0.500 0.500
Mg 0.500 0.000 0.500
Al 0.500 0.500 0.000
O 0.500 0.500 0.500

---

Record 13
# NaMg30AlO32

NaMg30AlO32 after structural relaxation (PBE-GGA, Alexandria).

Output
- Size of the total moment: 0.0 μB/f.u.
- DOS(E_F): 0.00 states/eV/atom
- Space-group type: No. 123
- Raw total energy: -383.45 eV per cell
- Raw formation energy: -2686 meV per atom

Cell: 8.519 8.519 8.504 Å, 90.00 90.00 90.00°
Fractional coordinates of all 64 atoms:
Na 0.000 0.000 0.000
Mg 0.000 0.250 0.248
Mg 0.000 0.250 0.752
Mg 0.000 0.500 0.000
Mg 0.000 0.500 0.500
Mg 0.000 0.750 0.248
Mg 0.000 0.750 0.752
Mg 0.249 0.249 0.000
Mg 0.249 0.751 0.000
Mg 0.250 0.000 0.248
Mg 0.250 0.000 0.752
Mg 0.250 0.250 0.500
Mg 0.250 0.500 0.249
Mg 0.250 0.500 0.751
Mg 0.250 0.750 0.500
Mg 0.500 0.000 0.000
Mg 0.500 0.000 0.500
Mg 0.500 0.250 0.249
Mg 0.500 0.250 0.751
Mg 0.500 0.500 0.000
Mg 0.500 0.500 0.500
Mg 0.500 0.750 0.249
Mg 0.500 0.750 0.751
Mg 0.750 0.000 0.248
Mg 0.750 0.000 0.752
Mg 0.750 0.250 0.500
Mg 0.750 0.500 0.249
Mg 0.750 0.500 0.751
Mg 0.750 0.750 0.500
Mg 0.751 0.249 0.000
Mg 0.751 0.751 0.000
Al 0.000 0.000 0.500
O 0.000 0.000 0.277
O 0.000 0.000 0.723
O 0.000 0.238 0.500
O 0.000 0.262 0.000
O 0.000 0.500 0.255
O 0.000 0.500 0.745
O 0.000 0.738 0.000
O 0.000 0.762 0.500
O 0.238 0.000 0.500
O 0.248 0.500 0.500
O 0.250 0.250 0.251
O 0.250 0.250 0.749
O 0.250 0.750 0.251
O 0.250 0.750 0.749
O 0.252 0.500 0.000
O 0.262 0.000 0.000
O 0.500 0.000 0.255
O 0.500 0.000 0.745
O 0.500 0.248 0.500
O 0.500 0.252 0.000
O 0.500 0.500 0.252
O 0.500 0.500 0.748
O 0.500 0.748 0.000
O 0.500 0.752 0.500
O 0.738 0.000 0.000
O 0.748 0.500 0.000
O 0.750 0.250 0.251
O 0.750 0.250 0.749
O 0.750 0.750 0.251
O 0.750 0.750 0.749
O 0.752 0.500 0.500
O 0.762 0.000 0.500

---

Record 14
# NaMg14AlO16

NaMg14AlO16 after structural relaxation (PBE-GGA, Alexandria).

Output
- Size of the total moment: 0.0 μB/f.u.
- DOS(E_F): 0.00 states/eV/atom
- Space-group type: No. 47
- Raw total energy: -191.62 eV per cell
- Raw formation energy: -2653 meV per atom

Cell: 4.271 8.491 8.521 Å, 90.00 90.00 90.00°
Fractional coordinates of all 32 atoms:
Na 0.000 0.000 0.000
Mg 0.000 0.000 0.500
Mg 0.000 0.246 0.250
Mg 0.000 0.246 0.750
Mg 0.000 0.500 0.500
Mg 0.000 0.754 0.250
Mg 0.000 0.754 0.750
Mg 0.500 0.000 0.247
Mg 0.500 0.000 0.753
Mg 0.500 0.245 0.000
Mg 0.500 0.248 0.500
Mg 0.500 0.500 0.249
Mg 0.500 0.500 0.751
Mg 0.500 0.752 0.500
Mg 0.500 0.755 0.000
Al 0.000 0.500 0.000
O 0.000 0.000 0.263
O 0.000 0.000 0.737
O 0.000 0.257 0.500
O 0.000 0.281 0.000
O 0.000 0.500 0.235
O 0.000 0.500 0.765
O 0.000 0.719 0.000
O 0.000 0.743 0.500
O 0.500 0.000 0.000
O 0.500 0.000 0.500
O 0.500 0.252 0.249
O 0.500 0.252 0.751
O 0.500 0.500 0.000
O 0.500 0.500 0.500
O 0.500 0.748 0.249
O 0.500 0.748 0.751

---

Record 15
# NaMg14AlO16

NaMg14AlO16 after structural relaxation (PBE-GGA, Alexandria).

Output
- Size of the total moment: 0.0 μB/f.u.
- DOS(E_F): 0.00 states/eV/atom
- Space-group type: No. 123
- Raw total energy: -191.22 eV per cell
- Raw formation energy: -2641 meV per atom

Cell: 8.515 8.515 4.271 Å, 90.00 90.00 90.00°
Fractional coordinates of all 32 atoms:
Na 0.000 0.000 0.000
Mg 0.000 0.245 0.500
Mg 0.000 0.500 0.000
Mg 0.000 0.755 0.500
Mg 0.245 0.000 0.500
Mg 0.246 0.246 0.000
Mg 0.246 0.754 0.000
Mg 0.248 0.500 0.500
Mg 0.500 0.000 0.000
Mg 0.500 0.248 0.500
Mg 0.500 0.752 0.500
Mg 0.752 0.500 0.500
Mg 0.754 0.246 0.000
Mg 0.754 0.754 0.000
Mg 0.755 0.000 0.500
Al 0.500 0.500 0.000
O 0.000 0.000 0.500
O 0.000 0.267 0.000
O 0.000 0.500 0.500
O 0.000 0.733 0.000
O 0.252 0.252 0.500
O 0.252 0.748 0.500
O 0.267 0.000 0.000
O 0.272 0.500 0.000
O 0.500 0.000 0.500
O 0.500 0.272 0.000
O 0.500 0.500 0.500
O 0.500 0.728 0.000
O 0.728 0.500 0.000
O 0.733 0.000 0.000
O 0.748 0.252 0.500
O 0.748 0.748 0.500